[1]
Below is Pr4RuPtCl2 after structural relaxation, with properties calculated at the PBE level.

The structure in CIF format:
```
data_Pr4RuPtCl2
_space_group_name_H-M_alt 'P 1 2/m 1'
_space_group_IT_number 10
_cell_length_a 7.1954
_cell_length_b 4.1560
_cell_length_c 7.9745
_cell_angle_alpha 90.00
_cell_angle_beta 107.34
_cell_angle_gamma 90.00
loop_
_space_group_symop_operation_xyz
'x,y,z'
'-x,-y,-z'
'-x,y,-z'
'x,-y,z'
loop_
_atom_site_label
_atom_site_fract_x
_atom_site_fract_y
_atom_site_fract_z
Pr1 0.2263 0.0000 0.2080
Pr2 0.2552 0.5000 0.7955
Ru1 0.0000 0.5000 0.0000
Pt1 0.5000 0.0000 0.0000
Cl1 0.0000 0.0000 0.5000
Cl2 0.5000 0.5000 0.5000
```

Summary:
Energy relative to the elements, uncorrected (eV per atom): -1.132
Total magnetization (μB per formula unit): 0.000

---

[2]
Below is Pr6Ru2PtCl3 after structural relaxation, with properties calculated at the PBE level.

The structure in CIF format:
```
data_Pr6Ru2PtCl3
_space_group_name_H-M_alt 'C 1 2/m 1'
_space_group_IT_number 12
_cell_length_a 7.1381
_cell_length_b 12.3712
_cell_length_c 8.0220
_cell_angle_alpha 90.00
_cell_angle_beta 107.21
_cell_angle_gamma 90.00
loop_
_space_group_symop_operation_xyz
'x,y,z'
'-x,-y,-z'
'-x,y,-z'
'x,-y,z'
'x+1/2,y+1/2,z'
'-x+1/2,-y+1/2,-z'
'-x+1/2,y+1/2,-z'
'x+1/2,-y+1/2,z'
loop_
_atom_site_label
_atom_site_fract_x
_atom_site_fract_y
_atom_site_fract_z
Pr1 0.2228 0.0000 0.2062
Pr2 0.2414 0.3274 0.2065
Ru1 0.0000 0.1664 0.0000
Pt1 0.0000 0.5000 0.0000
Cl1 0.0000 0.0000 0.5000
Cl2 0.0000 0.3275 0.5000
```

Summary:
Energy relative to the elements, uncorrected (eV per atom): -1.052
Total magnetization (μB per formula unit): 0.000

---

[3]
Below is Pr8Pt3SCl4 after structural relaxation, with properties calculated at the PBE level.

The structure in CIF format:
```
data_Pr8Pt3SCl4
_space_group_name_H-M_alt 'R -3 m'
_space_group_IT_number 166
_space_group_name_Hall '-R 3 2"'
_cell_length_a 8.4358
_cell_length_b 8.4358
_cell_length_c 21.4983
_cell_angle_alpha 90.00
_cell_angle_beta 90.00
_cell_angle_gamma 120.00
loop_
_atom_site_label
_atom_site_fract_x
_atom_site_fract_y
_atom_site_fract_z
Pr1 0.0000 0.0000 0.2367
Pr2 0.0011 0.5006 0.7586
Pt1 0.0000 0.5000 0.5000
S1 0.0000 0.0000 0.5000
Cl1 0.0000 0.0000 0.0000
Cl2 0.0000 0.5000 0.0000
```

Summary:
Energy relative to the elements, uncorrected (eV per atom): -1.404
Total magnetization (μB per formula unit): 0.000

---

[4]
Below is Pr6Pt2S3Cl after structural relaxation, with properties calculated at the PBE level.

The structure in CIF format:
```
data_Pr6Pt2S3Cl
_space_group_name_H-M_alt 'C 1 2/m 1'
_space_group_IT_number 12
_cell_length_a 18.5051
_cell_length_b 4.0742
_cell_length_c 8.5623
_cell_angle_alpha 90.00
_cell_angle_beta 105.00
_cell_angle_gamma 90.00
loop_
_space_group_symop_operation_xyz
'x,y,z'
'-x,-y,-z'
'-x,y,-z'
'x,-y,z'
'x+1/2,y+1/2,z'
'-x+1/2,-y+1/2,-z'
'-x+1/2,y+1/2,-z'
'x+1/2,-y+1/2,z'
loop_
_atom_site_label
_atom_site_fract_x
_atom_site_fract_y
_atom_site_fract_z
Pr1 0.9997 0.0000 0.2316
Pr2 0.1669 0.5000 0.0797
Pr3 0.1728 0.5000 0.5903
Pt1 0.1645 0.0000 0.8285
S1 0.0000 0.5000 0.0000
S2 0.1626 0.0000 0.3346
Cl1 0.0000 0.5000 0.5000
```

Summary:
Energy relative to the elements, uncorrected (eV per atom): -1.581
Total magnetization (μB per formula unit): 0.000